No. 1
Material: BaCrSe
Method: DFT, PBE-GGA
State: optimized geometry

**E**: -4.951 eV per atom
**Volume**: 445.9 Å³ per cell
**Formation energy (no corrections)**: 0.059 eV per atom

CIF file:
```
data_BaCrSe
_cell_length_a 7.639
_cell_length_b 7.639
_cell_length_c 7.639
_cell_angle_alpha 90.00
_cell_angle_beta 90.00
_cell_angle_gamma 90.00
_symmetry_space_group_name_H-M 'F -4 3 m'
_symmetry_Int_Tables_number 216
_symmetry_space_group_name_Hall 'F -4 2 3'
loop_
_atom_site_label
_atom_site_type_symbol
_atom_site_fract_x
_atom_site_fract_y
_atom_site_fract_z
Ba1 Ba 0.000 0.000 0.000
Cr1 Cr 0.250 0.250 0.250
Se1 Se 0.250 0.250 0.750
```

No. 2
Material: HoCo3Br9
Method: DFT, PBE-GGA
State: optimized geometry

**E**: -3.867 eV per atom
**Volume**: 1802.8 Å³ per cell
**Formation energy (no corrections)**: -0.717 eV per atom

CIF file:
```
data_HoCo3Br9
_cell_length_a 18.639
_cell_length_b 9.313
_cell_length_c 13.319
_cell_angle_alpha 90.00
_cell_angle_beta 128.76
_cell_angle_gamma 90.00
_symmetry_space_group_name_H-M 'C 1 c 1'
_symmetry_Int_Tables_number 9
loop_
_symmetry_equiv_pos_as_xyz
'x,y,z'
'x,-y,z+1/2'
'x+1/2,y+1/2,z'
'x+1/2,-y+1/2,z+1/2'
loop_
_atom_site_label
_atom_site_type_symbol
_atom_site_fract_x
_atom_site_fract_y
_atom_site_fract_z
Ho1 Ho 0.000 0.232 0.000
Co1 Co 0.142 0.117 0.830
Co2 Co 0.232 0.423 0.714
Co3 Co 0.358 0.076 0.668
Br1 Br 0.011 0.086 0.824
Br2 Br 0.118 0.344 0.730
Br3 Br 0.144 0.068 0.207
Br4 Br 0.152 0.383 0.058
Br5 Br 0.245 0.261 0.587
Br6 Br 0.295 0.129 0.028
Br7 Br 0.362 0.476 0.417
Br8 Br 0.400 0.018 0.368
Br9 Br 0.487 0.179 0.693
```

Please write out number 1 again, unchanged.
Material: BaCrSe
Method: DFT, PBE-GGA
State: optimized geometry

**E**: -4.951 eV per atom
**Volume**: 445.9 Å³ per cell
**Formation energy (no corrections)**: 0.059 eV per atom

CIF file:
```
data_BaCrSe
_cell_length_a 7.639
_cell_length_b 7.639
_cell_length_c 7.639
_cell_angle_alpha 90.00
_cell_angle_beta 90.00
_cell_angle_gamma 90.00
_symmetry_space_group_name_H-M 'F -4 3 m'
_symmetry_Int_Tables_number 216
_symmetry_space_group_name_Hall 'F -4 2 3'
loop_
_atom_site_label
_atom_site_type_symbol
_atom_site_fract_x
_atom_site_fract_y
_atom_site_fract_z
Ba1 Ba 0.000 0.000 0.000
Cr1 Cr 0.250 0.250 0.250
Se1 Se 0.250 0.250 0.750
```

- Number 1 is which compound?
  BaCrSe